No. 1
{"formula": "ScTa2Cu", "functional": "PBEsol", "state": "relaxed", "relative_energy_ev_per_atom": 0.1025, "formation_energy_mev_per_atom": 207, "dft_energy_ev_per_cell": -35.21, "crystal_system": "tetragonal", "vol_a3_per_atom": 16.9, "sg": "P4/mmm, No. 123", "cell": [[3.965, 0.000, 0.000], [0.000, 3.965, 0.000], [0.000, 0.000, 4.303]], "species": ["Sc", "Ta", "Ta", "Cu"], "frac_coords": [[0.000, 0.000, 0.000], [0.000, 0.500, 0.500], [0.500, 0.000, 0.500], [0.500, 0.500, 0.000]]}

No. 2
{"formula": "SiSb2Mo", "functional": "PBEsol", "state": "relaxed", "formation_energy_uncorrected_ev_per_fu": -0.2, "dft_energy_ev_per_cell": -26.79, "crystal_system": "tetragonal", "vol_a3_per_atom": 20.4, "sg": "P4mm, No. 99", "cell": [[3.243, 0.000, 0.000], [0.000, 3.243, 0.000], [0.000, 0.000, 7.769]], "species": ["Si", "Sb", "Sb", "Mo"], "frac_coords": [[0.000, 0.000, 0.000], [0.000, 0.000, 0.373], [0.500, 0.500, 0.764], [0.500, 0.500, 0.135]]}

No. 3
{"formula": "ReTc", "functional": "PBEsol", "state": "relaxed", "relative_energy_ev_per_atom": 0.0719, "formation_energy_mev_per_atom": 65, "dft_energy_ev_per_cell": -48.94, "crystal_system": "orthorhombic", "vol_a3_per_atom": 14.3, "sg": "Pmmn, No. 59", "cell": [[2.722, 0.000, 0.000], [0.000, 3.856, 0.000], [0.000, 0.000, 5.463]], "species": ["Re", "Re", "Tc", "Tc"], "frac_coords": [[0.250, 0.250, 0.127], [0.750, 0.750, 0.873], [0.250, 0.250, 0.623], [0.750, 0.750, 0.377]]}

No. 4
{"formula": "CeSnAu2", "functional": "PBEsol", "state": "relaxed", "formation_energy_mev_per_atom": -636, "dft_energy_ev_per_cell": -21.25, "crystal_system": "cubic", "vol_a3_per_atom": 21.4, "sg": "Fm-3m, No. 225", "cell": [[0.000, 3.497, 3.497], [3.497, 0.000, 3.497], [3.497, 3.497, 0.000]], "species": ["Ce", "Sn", "Au", "Au"], "frac_coords": [[0.000, 0.000, 0.000], [0.500, 0.500, 0.500], [0.250, 0.250, 0.250], [0.750, 0.750, 0.750]]}

No. 5
{"formula": "AlV2O4", "functional": "PBEsol", "state": "relaxed", "formation_energy_uncorrected_ev_per_fu": -17.0, "relative_energy_ev_per_atom": 0.0000, "dft_energy_ev_per_cell": -122.80, "crystal_system": "tetragonal", "vol_a3_per_atom": 9.8, "sg": "I4_1/amd, No. 141", "cell": [[-2.894, 2.894, 4.094], [2.894, -2.894, 4.094], [2.894, 2.894, -4.094]], "species": ["Al", "Al", "V", "V", "V", "V", "O", "O", "O", "O", "O", "O", "O", "O"], "frac_coords": [[0.375, 0.625, 0.750], [0.625, 0.375, 0.250], [0.000, 0.000, 0.000], [0.000, 0.000, 0.500], [0.000, 0.500, 0.000], [0.500, 0.000, 0.500], [0.247, 0.748, 0.499], [0.251, 0.252, 0.999], [0.252, 0.251, 0.499], [0.252, 0.753, 0.001], [0.748, 0.247, 0.999], [0.748, 0.749, 0.501], [0.749, 0.748, 0.001], [0.753, 0.252, 0.501]]}

No. 6
{"formula": "NaGaBiSb2", "functional": "PBEsol", "state": "relaxed", "formation_energy_uncorrected_ev_per_fu": 3.7, "dft_energy_ev_per_cell": -14.44, "crystal_system": "tetragonal", "vol_a3_per_atom": 30.9, "sg": "P4/mmm, No. 123", "cell": [[5.339, 0.000, 0.000], [0.000, 5.339, 0.000], [0.000, 0.000, 5.412]], "species": ["Na", "Ga", "Bi", "Sb", "Sb"], "frac_coords": [[0.000, 0.000, 0.000], [0.500, 0.500, 0.500], [0.000, 0.000, 0.500], [0.000, 0.500, 0.000], [0.500, 0.000, 0.000]]}

No. 7
{"formula": "ZnSiAg2", "functional": "PBEsol", "state": "relaxed", "formation_energy_uncorrected_ev_per_fu": 0.5, "relative_energy_ev_per_atom": 0.0057, "dft_energy_ev_per_cell": -13.46, "crystal_system": "tetragonal", "vol_a3_per_atom": 15.5, "sg": "I-4m2, No. 119", "cell": [[-1.952, 1.952, 4.062], [1.952, -1.952, 4.062], [1.952, 1.952, -4.062]], "species": ["Zn", "Si", "Ag", "Ag"], "frac_coords": [[0.000, 0.000, 0.000], [0.250, 0.750, 0.500], [0.500, 0.500, 0.000], [0.750, 0.250, 0.500]]}

No. 8
{"formula": "V3P6WO24", "functional": "PBEsol", "state": "relaxed", "formation_energy_uncorrected_ev_per_fu": -75.7, "dft_energy_ev_per_cell": -279.18, "crystal_system": "trigonal", "vol_a3_per_atom": 13.2, "sg": "R3, No. 146", "cell": [[4.237, 2.446, 7.241], [-4.237, 2.446, 7.241], [0.000, -4.893, 7.241]], "species": ["V", "V", "V", "P", "P", "P", "P", "P", "P", "W", "O", "O", "O", "O", "O", "O", "O", "O", "O", "O", "O", "O", "O", "O", "O", "O", "O", "O", "O", "O", "O", "O", "O", "O"], "frac_coords": [[0.000, 0.000, 0.000], [0.217, 0.217, 0.217], [0.715, 0.715, 0.715], [0.102, 0.833, 0.387], [0.325, 0.608, 0.898], [0.387, 0.102, 0.833], [0.608, 0.898, 0.325], [0.833, 0.387, 0.102], [0.898, 0.325, 0.608], [0.499, 0.499, 0.499], [0.079, 0.284, 0.438], [0.099, 0.849, 0.206], [0.144, 0.996, 0.359], [0.154, 0.794, 0.905], [0.206, 0.099, 0.849], [0.276, 0.642, 0.432], [0.284, 0.438, 0.079], [0.359, 0.144, 0.996], [0.360, 0.570, 0.723], [0.432, 0.276, 0.642], [0.438, 0.079, 0.284], [0.509, 0.619, 0.867], [0.562, 0.922, 0.810], [0.570, 0.723, 0.360], [0.619, 0.867, 0.509], [0.642, 0.432, 0.276], [0.723, 0.360, 0.570], [0.794, 0.905, 0.154], [0.810, 0.562, 0.922], [0.849, 0.206, 0.099], [0.867, 0.509, 0.619], [0.905, 0.154, 0.794], [0.922, 0.810, 0.562], [0.996, 0.359, 0.144]]}

No. 9
{"formula": "Fe3P2O10", "functional": "PBEsol", "state": "relaxed", "formation_energy_uncorrected_ev_per_fu": -24.3, "dft_energy_ev_per_cell": -230.52, "crystal_system": "monoclinic", "vol_a3_per_atom": 10.9, "sg": "P2_1/c, No. 14", "cell": [[7.350, 0.000, 0.000], [0.000, 7.157, 0.000], [-3.271, 0.000, 6.224]], "species": ["Fe", "Fe", "Fe", "Fe", "Fe", "Fe", "P", "P", "P", "P", "O", "O", "O", "O", "O", "O", "O", "O", "O", "O", "O", "O", "O", "O", "O", "O", "O", "O", "O", "O"], "frac_coords": [[0.000, 0.000, 0.000], [0.000, 0.500, 0.500], [0.249, 0.232, 0.764], [0.249, 0.268, 0.264], [0.751, 0.732, 0.736], [0.751, 0.768, 0.236], [0.255, 0.637, 0.996], [0.255, 0.863, 0.496], [0.745, 0.137, 0.504], [0.745, 0.363, 0.004], [0.078, 0.717, 0.411], [0.078, 0.783, 0.911], [0.201, 0.157, 0.991], [0.201, 0.343, 0.491], [0.206, 0.514, 0.793], [0.206, 0.986, 0.293], [0.245, 0.514, 0.168], [0.245, 0.986, 0.668], [0.460, 0.734, 0.073], [0.460, 0.766, 0.573], [0.540, 0.234, 0.427], [0.540, 0.266, 0.927], [0.755, 0.014, 0.332], [0.755, 0.486, 0.832], [0.794, 0.014, 0.707], [0.794, 0.486, 0.207], [0.799, 0.657, 0.509], [0.799, 0.843, 0.009], [0.922, 0.217, 0.089], [0.922, 0.283, 0.589]]}

No. 10
{"formula": "Si2TcSe", "functional": "PBEsol", "state": "relaxed", "formation_energy_uncorrected_ev_per_fu": 0.1, "dft_energy_ev_per_cell": -26.49, "crystal_system": "orthorhombic", "vol_a3_per_atom": 15.2, "sg": "Amm2, No. 38", "cell": [[4.052, 0.000, 0.000], [0.000, 1.637, 4.588], [0.000, -1.637, 4.588]], "species": ["Si", "Si", "Tc", "Se"], "frac_coords": [[0.000, 0.000, 0.000], [0.500, 0.443, 0.443], [0.500, 0.151, 0.151], [0.000, 0.740, 0.740]]}

No. 11
{"formula": "CoTcSb2I", "functional": "PBEsol", "state": "relaxed", "formation_energy_uncorrected_ev_per_fu": 5.7, "dft_energy_ev_per_cell": -24.19, "crystal_system": "tetragonal", "vol_a3_per_atom": 27.9, "sg": "P4/mmm, No. 123", "cell": [[4.972, 0.000, 0.000], [0.000, 4.972, 0.000], [0.000, 0.000, 5.645]], "species": ["Co", "Tc", "Sb", "Sb", "I"], "frac_coords": [[0.000, 0.000, 0.000], [0.500, 0.500, 0.500], [0.000, 0.500, 0.500], [0.500, 0.000, 0.500], [0.500, 0.500, 0.000]]}

No. 12
{"formula": "CdSi2Tc", "functional": "PBEsol", "state": "relaxed", "formation_energy_uncorrected_ev_per_fu": 1.5, "dft_energy_ev_per_cell": -22.48, "crystal_system": "monoclinic", "vol_a3_per_atom": 15.6, "sg": "C2/m, No. 12", "cell": [[2.816, -4.229, 0.000], [2.816, 4.229, 0.000], [-1.554, 0.000, 2.627]], "species": ["Cd", "Si", "Si", "Tc"], "frac_coords": [[0.000, 0.000, 0.000], [0.000, 0.500, 0.000], [0.500, 0.000, 0.000], [0.500, 0.500, 0.000]]}

No. 13
{"formula": "SrTaHg2", "functional": "PBEsol", "state": "relaxed", "formation_energy_mev_per_atom": 288, "dft_energy_ev_per_cell": -14.37, "crystal_system": "monoclinic", "vol_a3_per_atom": 24.8, "sg": "C2/m, No. 12", "cell": [[4.540, -1.642, 0.000], [4.540, 1.642, 0.000], [-1.081, 0.000, 6.648]], "species": ["Sr", "Ta", "Hg", "Hg"], "frac_coords": [[0.000, 0.000, 0.000], [0.500, 0.500, 0.500], [0.243, 0.243, 0.693], [0.757, 0.757, 0.307]]}

No. 14
{"formula": "Mn2CoAg", "functional": "PBEsol", "state": "relaxed", "relative_energy_ev_per_atom": 0.0000, "formation_energy_mev_per_atom": 320, "dft_energy_ev_per_cell": -29.29, "crystal_system": "tetragonal", "vol_a3_per_atom": 12.2, "sg": "P4mm, No. 99", "cell": [[2.569, 0.000, 0.000], [0.000, 2.569, 0.000], [0.000, 0.000, 7.365]], "species": ["Mn", "Mn", "Co", "Ag"], "frac_coords": [[0.000, 0.000, 0.000], [0.500, 0.500, 0.233], [0.500, 0.500, 0.797], [0.000, 0.000, 0.519]]}

No. 15
{"formula": "KNiMo", "functional": "PBEsol", "state": "relaxed", "formation_energy_mev_per_atom": 2712, "dft_energy_ev_per_cell": -10.92, "crystal_system": "cubic", "vol_a3_per_atom": 22.7, "sg": "F-43m, No. 216", "cell": [[0.000, 3.243, 3.243], [3.243, 0.000, 3.243], [3.243, 3.243, 0.000]], "species": ["K", "Ni", "Mo"], "frac_coords": [[0.000, 0.000, 0.000], [0.750, 0.750, 0.750], [0.250, 0.250, 0.250]]}

No. 16
{"formula": "MnAs2W", "functional": "PBEsol", "state": "relaxed", "relative_energy_ev_per_atom": 0.2282, "formation_energy_mev_per_atom": 394, "dft_energy_ev_per_cell": -32.21, "crystal_system": "tetragonal", "vol_a3_per_atom": 14.7, "sg": "I-4m2, No. 119", "cell": [[-1.942, 1.942, 3.891], [1.942, -1.942, 3.891], [1.942, 1.942, -3.891]], "species": ["Mn", "As", "As", "W"], "frac_coords": [[0.000, 0.000, 0.000], [0.250, 0.750, 0.500], [0.500, 0.500, 0.000], [0.750, 0.250, 0.500]]}

No. 17
{"formula": "KSr3", "functional": "PBEsol", "state": "relaxed", "relative_energy_ev_per_atom": 0.0434, "formation_energy_mev_per_atom": 94, "dft_energy_ev_per_cell": -6.28, "crystal_system": "tetragonal", "vol_a3_per_atom": 55.0, "sg": "P4/mmm, No. 123", "cell": [[6.914, 0.000, 0.000], [0.000, 6.914, 0.000], [0.000, 0.000, 4.599]], "species": ["K", "Sr", "Sr", "Sr"], "frac_coords": [[0.000, 0.000, 0.000], [0.000, 0.500, 0.500], [0.500, 0.000, 0.500], [0.500, 0.500, 0.000]]}

No. 18
{"formula": "SrLa2Tl2", "functional": "PBEsol", "state": "relaxed", "formation_energy_mev_per_atom": -350, "dft_energy_ev_per_cell": -39.09, "crystal_system": "tetragonal", "vol_a3_per_atom": 33.2, "sg": "P4/mbm, No. 127", "cell": [[9.037, 0.000, 0.000], [0.000, 9.037, 0.000], [0.000, 0.000, 4.061]], "species": ["Sr", "Sr", "La", "La", "La", "La", "Tl", "Tl", "Tl", "Tl"], "frac_coords": [[0.000, 0.000, 0.000], [0.500, 0.500, 0.000], [0.167, 0.333, 0.500], [0.333, 0.833, 0.500], [0.667, 0.167, 0.500], [0.833, 0.667, 0.500], [0.129, 0.629, 0.000], [0.371, 0.129, 0.000], [0.629, 0.871, 0.000], [0.871, 0.371, 0.000]]}

No. 19
{"formula": "Rb2AlTlBr6", "functional": "PBEsol", "state": "relaxed", "formation_energy_uncorrected_ev_per_fu": -12.7, "dft_energy_ev_per_cell": -32.73, "crystal_system": "cubic", "vol_a3_per_atom": 34.4, "sg": "Fm-3m, No. 225", "cell": [[0.000, 5.562, 5.562], [5.562, 0.000, 5.562], [5.562, 5.562, 0.000]], "species": ["Rb", "Rb", "Al", "Tl", "Br", "Br", "Br", "Br", "Br", "Br"], "frac_coords": [[0.250, 0.250, 0.250], [0.750, 0.750, 0.750], [0.000, 0.000, 0.000], [0.500, 0.500, 0.500], [0.225, 0.225, 0.775], [0.225, 0.775, 0.225], [0.225, 0.775, 0.775], [0.775, 0.225, 0.225], [0.775, 0.225, 0.775], [0.775, 0.775, 0.225]]}

No. 20
{"formula": "HfBe2Ni2", "functional": "PBEsol", "state": "relaxed", "formation_energy_mev_per_atom": -395, "dft_energy_ev_per_cell": -32.79, "crystal_system": "tetragonal", "vol_a3_per_atom": 11.3, "sg": "I4/mmm, No. 139", "cell": [[-1.774, 1.774, 4.488], [1.774, -1.774, 4.488], [1.774, 1.774, -4.488]], "species": ["Hf", "Be", "Be", "Ni", "Ni"], "frac_coords": [[0.000, 0.000, 0.000], [0.383, 0.383, 0.000], [0.617, 0.617, 0.000], [0.250, 0.750, 0.500], [0.750, 0.250, 0.500]]}